Model 1:
A plane-wave DFT calculation with PBE-GGA was carried out for an optimized crystal structure of KSb2TeH.

The structure in extended XYZ format:
```
5
Lattice="4.733 0.000 0.000 0.000 4.733 0.000 0.000 0.000 5.573" Properties=species:S:1:pos:R:3 pbc="T T T"
K 0.000 0.000 0.000
Sb 0.000 2.367 2.786
Sb 2.367 0.000 2.786
Te 2.367 2.367 0.000
H 2.367 2.367 2.786
```

Summary:
- DOS(E_F) (states/eV/f.u.) = 2.310
- magnetic moment (μB per formula unit) = 0.0


Model 2:
A plane-wave DFT calculation with PBE-GGA was carried out for an optimized crystal structure of KSb2TeH.

The structure in extended XYZ format:
```
5
Lattice="6.087 0.000 0.000 0.000 6.087 0.000 0.000 0.000 6.109" Properties=species:S:1:pos:R:3 pbc="T T T"
K 0.000 0.000 0.000
Sb 0.000 3.043 0.000
Sb 3.043 0.000 0.000
Te 0.000 0.000 3.055
H 3.043 3.043 3.055
```

Summary:
- DOS(E_F) (states/eV/f.u.) = 5.905
- magnetic moment (μB per formula unit) = 1.7


model 1 takes first place; second place is 1312 meV per atom up.


Model 1:
A plane-wave DFT calculation with PBE-GGA was carried out for an optimized crystal structure of K2TlSbH.

The structure in extended XYZ format:
```
5
Lattice="5.022 0.000 0.000 0.000 5.022 0.000 0.000 0.000 5.504" Properties=species:S:1:pos:R:3 pbc="T T T"
K 0.000 2.511 0.000
K 2.511 0.000 0.000
Tl 0.000 0.000 2.752
Sb 2.511 2.511 2.752
H 0.000 0.000 0.000
```

Summary:
- DOS(E_F) (states/eV/f.u.) = 1.114
- magnetic moment (μB per formula unit) = 0.0


Model 2:
A plane-wave DFT calculation with PBE-GGA was carried out for an optimized crystal structure of K2TlSbH.

The structure in extended XYZ format:
```
10
Lattice="7.255 0.000 0.000 0.000 5.543 0.000 -2.540 0.000 8.187" Properties=species:S:1:pos:R:3 pbc="T T T"
K -0.015 1.386 3.049
K -0.549 1.386 7.630
K 5.265 4.157 0.557
K 4.730 4.157 5.138
Tl 2.263 4.157 2.728
Tl 2.452 1.386 5.459
Sb 1.017 4.157 5.640
Sb 3.698 1.386 2.547
H 0.598 4.157 1.519
H 4.117 1.386 6.668
```

Summary:
- DOS(E_F) (states/eV/f.u.) = 1.769
- magnetic moment (μB per formula unit) = 0.0


Model 3:
A plane-wave DFT calculation with PBE-GGA was carried out for an optimized crystal structure of K2TlSbH.

The structure in extended XYZ format:
```
5
Lattice="5.678 0.000 0.000 0.000 5.678 0.000 0.000 0.000 4.470" Properties=species:S:1:pos:R:3 pbc="T T T"
K 0.000 2.839 0.000
K 2.839 0.000 0.000
Tl 0.000 0.000 2.235
Sb 2.839 2.839 2.235
H 2.839 2.839 0.000
```

Summary:
- DOS(E_F) (states/eV/f.u.) = 2.240
- magnetic moment (μB per formula unit) = 0.0


model 2 takes first place; second place is 47 meV per atom up.


Model 1:
A plane-wave DFT calculation with PBE-GGA was carried out for an optimized crystal structure of KScH3.

The structure in extended XYZ format:
```
5
Lattice="4.290 0.000 0.000 0.000 4.290 0.000 0.000 0.000 4.290" Properties=species:S:1:pos:R:3 pbc="T T T"
K 0.000 0.000 0.000
Sc 2.145 2.145 2.145
H 0.000 0.000 2.145
H 0.000 2.145 0.000
H 2.145 0.000 0.000
```

Summary:
- DOS(E_F) (states/eV/f.u.) = 1.601
- magnetic moment (μB per formula unit) = 0.8


Model 2:
A plane-wave DFT calculation with PBE-GGA was carried out for an optimized crystal structure of KScH3.

The structure in extended XYZ format:
```
5
Lattice="4.107 0.000 0.000 0.000 4.107 0.000 0.000 0.000 4.107" Properties=species:S:1:pos:R:3 pbc="T T T"
K 0.000 0.000 0.000
Sc 2.053 2.053 2.053
H 0.000 2.053 2.053
H 2.053 0.000 2.053
H 2.053 2.053 0.000
```

Summary:
- DOS(E_F) (states/eV/f.u.) = 2.169
- magnetic moment (μB per formula unit) = 0.0


model 2 takes first place; second place is 975 meV per atom up.


Model 1:
A plane-wave DFT calculation with PBE-GGA was carried out for an optimized crystal structure of K2HSe.

The structure in extended XYZ format:
```
8
Lattice="-5.695 5.695 1.991 5.695 -5.695 1.991 5.695 5.695 -1.991" Properties=species:S:1:pos:R:3 pbc="T T T"
K -0.024 2.848 0.498
K 2.848 5.671 1.493
K 0.024 8.543 0.498
K -2.848 5.719 1.493
H 0.000 0.000 0.000
H 0.000 5.695 0.995
Se 5.695 0.000 0.995
Se 0.000 0.000 1.991
```

Summary:
- DOS(E_F) (states/eV/f.u.) = 0.905
- magnetic moment (μB per formula unit) = 0.0


Model 2:
A plane-wave DFT calculation with PBE-GGA was carried out for an optimized crystal structure of K2HSe.

The structure in extended XYZ format:
```
8
Lattice="4.883 0.000 0.000 0.000 5.083 0.000 0.000 0.000 8.757" Properties=species:S:1:pos:R:3 pbc="T T T"
K 1.221 1.271 0.201
K 1.221 3.812 5.447
K 3.662 1.271 3.309
K 3.662 3.812 8.556
H 1.221 1.271 6.454
H 3.662 3.812 2.303
Se 1.221 3.812 2.188
Se 3.662 1.271 6.569
```

Summary:
- DOS(E_F) (states/eV/f.u.) = 1.331
- magnetic moment (μB per formula unit) = 0.0


Model 3:
A plane-wave DFT calculation with PBE-GGA was carried out for an optimized crystal structure of K2HSe.

The structure in extended XYZ format:
```
4
Lattice="0.000 3.833 3.833 3.833 0.000 3.833 3.833 3.833 0.000" Properties=species:S:1:pos:R:3 pbc="T T T"
K 1.917 1.917 1.917
K 5.750 5.750 5.750
H 0.000 0.000 0.000
Se 3.833 3.833 3.833
```

Summary:
- DOS(E_F) (states/eV/f.u.) = 0.565
- magnetic moment (μB per formula unit) = 1.0


model 1 takes first place; second place is 46 meV per atom up.


Model 1:
A plane-wave DFT calculation with PBE-GGA was carried out for an optimized crystal structure of KH3Se.

The structure in extended XYZ format:
```
10
Lattice="4.571 0.000 0.000 0.000 9.027 0.000 0.000 0.000 4.911" Properties=species:S:1:pos:R:3 pbc="T T T"
K 0.000 1.708 0.000
K 0.000 7.319 2.456
H 2.286 0.331 3.158
H 2.286 3.689 4.537
H 2.286 4.238 0.149
H 2.286 4.789 2.604
H 2.286 5.337 2.081
H 2.286 8.695 0.703
Se 2.286 1.661 2.457
Se 2.286 7.366 0.001
```

Summary:
- DOS(E_F) (states/eV/f.u.) = 0.000
- magnetic moment (μB per formula unit) = 0.0


Model 2:
A plane-wave DFT calculation with PBE-GGA was carried out for an optimized crystal structure of KH3Se.

The structure in extended XYZ format:
```
5
Lattice="4.174 0.000 0.000 0.000 4.174 0.000 0.000 0.000 4.174" Properties=species:S:1:pos:R:3 pbc="T T T"
K 0.000 0.000 0.000
H 0.000 0.000 2.087
H 0.000 2.087 0.000
H 2.087 0.000 0.000
Se 2.087 2.087 2.087
```

Summary:
- DOS(E_F) (states/eV/f.u.) = 1.217
- magnetic moment (μB per formula unit) = 0.0


model 1 takes first place; second place is 1594 meV per atom up.


Model 1:
A plane-wave DFT calculation with PBE-GGA was carried out for an optimized crystal structure of K3HSe.

The structure in extended XYZ format:
```
5
Lattice="5.178 0.000 0.000 0.000 5.178 0.000 0.000 0.000 5.178" Properties=species:S:1:pos:R:3 pbc="T T T"
K 0.000 0.000 2.589
K 0.000 2.589 0.000
K 2.589 0.000 0.000
H 0.000 0.000 0.000
Se 2.589 2.589 2.589
```

Summary:
- DOS(E_F) (states/eV/f.u.) = 0.000
- magnetic moment (μB per formula unit) = 0.0


Model 2:
A plane-wave DFT calculation with PBE-GGA was carried out for an optimized crystal structure of K3HSe.

The structure in extended XYZ format:
```
10
Lattice="5.285 0.000 0.000 0.932 7.518 0.000 2.516 2.563 8.344" Properties=species:S:1:pos:R:3 pbc="T T T"
K 2.036 3.034 3.945
K 4.112 6.244 7.062
K 3.983 2.383 6.898
K 4.750 7.698 1.446
K 4.621 3.837 1.282
K 6.697 7.047 4.399
H 3.841 8.029 5.168
H 4.892 2.053 3.175
Se 2.025 5.644 1.465
Se 6.708 4.437 6.879
```

Summary:
- DOS(E_F) (states/eV/f.u.) = 0.000
- magnetic moment (μB per formula unit) = 0.0


model 1 takes first place; second place is 18 meV per atom up.


Model 1:
A plane-wave DFT calculation with PBE-GGA was carried out for an optimized crystal structure of KHSe3.

The structure in extended XYZ format:
```
10
Lattice="6.592 0.000 0.000 0.506 6.602 0.000 1.474 0.708 6.620" Properties=species:S:1:pos:R:3 pbc="T T T"
K 1.489 1.419 0.094
K 7.082 5.890 6.525
H 2.761 0.550 3.374
H 5.811 6.760 3.246
Se 2.472 5.909 3.607
Se 2.374 4.689 0.496
Se 4.201 4.632 4.838
Se 4.370 2.678 1.782
Se 6.198 2.621 6.123
Se 6.100 1.400 3.012
```

Summary:
- magnetic moment (μB per formula unit) = 0.0


Model 2:
A plane-wave DFT calculation with PBE-GGA was carried out for an optimized crystal structure of KHSe3.

The structure in extended XYZ format:
```
5
Lattice="4.619 0.000 0.000 0.000 4.619 0.000 0.000 0.000 4.619" Properties=species:S:1:pos:R:3 pbc="T T T"
K 0.000 0.000 0.000
H 2.310 2.310 2.310
Se 0.000 2.310 2.310
Se 2.310 0.000 2.310
Se 2.310 2.310 0.000
```

Summary:
- DOS(E_F) (states/eV/f.u.) = 3.029
- magnetic moment (μB per formula unit) = 0.0


Model 3:
A plane-wave DFT calculation with PBE-GGA was carried out for an optimized crystal structure of KHSe3.

The structure in extended XYZ format:
```
10
Lattice="6.107 0.000 0.000 0.000 7.450 0.000 -0.242 0.000 6.415" Properties=species:S:1:pos:R:3 pbc="T T T"
K 1.198 1.862 1.641
K 4.666 5.587 4.774
H 2.356 5.587 2.917
H 3.508 1.862 3.498
Se 1.626 3.832 4.670
Se 1.626 7.343 4.670
Se 2.963 5.587 1.492
Se 2.901 1.862 4.923
Se 4.238 0.107 1.745
Se 4.238 3.618 1.745
```

Summary:
- magnetic moment (μB per formula unit) = 0.0


model 1 takes first place; second place is 140 meV per atom up.


Model 1:
A plane-wave DFT calculation with PBE-GGA was carried out for an optimized crystal structure of KSiH.

The structure in extended XYZ format:
```
6
Lattice="6.090 -2.412 0.000 6.090 2.412 0.000 -0.730 0.000 5.082" Properties=species:S:1:pos:R:3 pbc="T T T"
K 1.525 0.000 1.013
K 9.925 0.000 4.069
Si 4.949 0.000 1.721
Si 6.502 0.000 3.361
H 3.729 0.000 2.714
H 7.721 0.000 2.368
```

Summary:
- magnetic moment (μB per formula unit) = 0.0


Model 2:
A plane-wave DFT calculation with PBE-GGA was carried out for an optimized crystal structure of KSiH.

The structure in extended XYZ format:
```
6
Lattice="5.554 0.000 0.000 -0.662 5.536 0.000 -1.867 -2.110 4.872" Properties=species:S:1:pos:R:3 pbc="T T T"
K 0.000 0.000 0.000
K 0.579 0.657 4.863
Si 0.439 3.639 2.686
Si 2.592 -0.223 2.176
H 0.089 3.245 1.214
H 2.941 0.173 3.648
```

Summary:
- magnetic moment (μB per formula unit) = 0.0


model 1 takes first place; second place is 20 meV per atom up.


Model 1:
A plane-wave DFT calculation with PBE-GGA was carried out for an optimized crystal structure of KSi3H.

The structure in extended XYZ format:
```
5
Lattice="4.347 0.000 0.000 0.000 4.347 0.000 0.000 0.000 4.347" Properties=species:S:1:pos:R:3 pbc="T T T"
K 0.000 0.000 0.000
Si 0.000 2.173 2.173
Si 2.173 0.000 2.173
Si 2.173 2.173 0.000
H 2.173 2.173 2.173
```

Summary:
- DOS(E_F) (states/eV/f.u.) = 1.190
- magnetic moment (μB per formula unit) = 0.0


Model 2:
A plane-wave DFT calculation with PBE-GGA was carried out for an optimized crystal structure of KSi3H.

The structure in extended XYZ format:
```
5
Lattice="5.716 0.000 0.000 0.000 5.716 0.000 0.000 0.000 5.716" Properties=species:S:1:pos:R:3 pbc="T T T"
K 0.000 0.000 0.000
Si 0.000 0.000 2.858
Si 0.000 2.858 0.000
Si 2.858 0.000 0.000
H 2.858 2.858 2.858
```

Summary:
- DOS(E_F) (states/eV/f.u.) = 4.612
- magnetic moment (μB per formula unit) = 0.7


model 1 takes first place; second place is 1714 meV per atom up.


Model 1:
A plane-wave DFT calculation with PBE-GGA was carried out for an optimized crystal structure of K2SiH6.

The structure in extended XYZ format:
```
9
Lattice="4.609 -2.663 0.000 4.609 2.663 0.000 -0.009 0.000 4.441" Properties=species:S:1:pos:R:3 pbc="T T T"
K 1.535 0.000 1.205
K 7.674 0.000 3.236
Si 4.609 0.000 0.000
H 3.945 1.150 0.918
H 3.272 0.000 3.524
H 5.264 1.150 3.524
H 3.945 -1.150 0.918
H 5.938 0.000 0.917
H 5.264 -1.150 3.524
```

Summary:
- DOS(E_F) (states/eV/f.u.) = 0.000
- magnetic moment (μB per formula unit) = 0.0


Model 2:
A plane-wave DFT calculation with PBE-GGA was carried out for an optimized crystal structure of K2SiH6.

The structure in extended XYZ format:
```
9
Lattice="0.000 3.862 3.862 3.862 0.000 3.862 3.862 3.862 0.000" Properties=species:S:1:pos:R:3 pbc="T T T"
K 1.931 1.931 1.931
K 5.792 5.792 5.792
Si 0.000 0.000 0.000
H 3.862 3.862 1.612
H 3.862 1.612 3.862
H 6.112 3.862 3.862
H 1.612 3.862 3.862
H 3.862 6.112 3.862
H 3.862 3.862 6.112
```

Summary:
- DOS(E_F) (states/eV/f.u.) = 0.000
- magnetic moment (μB per formula unit) = 0.0


Model 3:
A plane-wave DFT calculation with PBE-GGA was carried out for an optimized crystal structure of K2SiH6.

The structure in extended XYZ format:
```
18
Lattice="5.073 0.000 0.000 0.000 5.073 0.000 0.000 0.000 10.296" Properties=species:S:1:pos:R:3 pbc="T T T"
K 0.000 0.000 1.693
K 0.000 0.000 8.603
K 2.536 2.536 3.455
K 2.536 2.536 6.841
Si 0.000 0.000 5.148
Si 2.536 2.536 0.000
H 0.799 0.799 3.996
H 0.799 0.799 6.299
H 1.132 3.941 5.148
H 1.405 1.405 0.000
H 1.737 3.335 1.151
H 1.737 3.335 9.144
H 3.335 1.737 1.151
H 3.335 1.737 9.144
H 3.668 3.668 0.000
H 3.941 1.132 5.148
H 4.274 4.274 3.996
H 4.274 4.274 6.299
```

Summary:
- DOS(E_F) (states/eV/f.u.) = 0.000
- magnetic moment (μB per formula unit) = 0.0


model 2 takes first place; second place is 18 meV per atom up.